Below is crystalline EuHgPdPt at its relaxed geometry, with properties calculated at the PBE-GGA level.

Cell lengths 6.899, 6.899, 6.899 Å; angles 90.00, 90.00, 90.00 degrees
Element x y z (fractional)
Eu 0.000 0.000 0.000
Eu 0.000 0.500 0.500
Eu 0.500 0.000 0.500
Eu 0.500 0.500 0.000
Hg 0.000 0.000 0.500
Hg 0.000 0.500 0.000
Hg 0.500 0.000 0.000
Hg 0.500 0.500 0.500
Pd 0.250 0.250 0.750
Pd 0.250 0.750 0.250
Pd 0.750 0.250 0.250
Pd 0.750 0.750 0.750
Pt 0.250 0.250 0.250
Pt 0.250 0.750 0.750
Pt 0.750 0.250 0.750
Pt 0.750 0.750 0.250

Properties
Spin magnetization = 6.8 μB per formula unit
SG = F-43m
Energy of formation = -0.477 eV/atom
Energy = -5.93 eV per atom